[1]
Material: Ba2AgHgPt
Method: DFT, GGA-PBE
State: relaxed

Computed properties:
As for the size of the total moment: 0.00 μB per formula unit. For the formation energy from the elements, the calculation gives -241 kJ/mol of formula units. As for the space group: P2_1/m.

Unit cell a=4.768 b=8.721 c=8.371 alpha=111.26 beta=90.00 gamma=90.00
Atoms (fractional coordinates):
Ba (0.750, 0.856, 0.651)
Hg (0.250, 0.630, 0.345)
Ba (0.250, 0.279, 0.941)
Ag (0.750, 0.421, 0.302)
Ba (0.750, 0.721, 0.059)
Pt (0.250, 0.907, 0.935)
Hg (0.750, 0.370, 0.655)
Ba (0.250, 0.144, 0.349)
Pt (0.750, 0.093, 0.065)
Ag (0.250, 0.579, 0.698)

=====

[2]
Material: BaAgHg2Pt
Method: DFT, GGA-PBE
State: relaxed

Computed properties:
As for the size of the total moment: 0.00 μB per formula unit. For the formation energy from the elements, the calculation gives -167 kJ/mol of formula units. As for the space group: Imm2.

Unit cell a=4.485 b=4.422 c=7.316 alpha=107.59 beta=107.85 gamma=90.00
Atoms (fractional coordinates):
Ba (0.421, 0.421, 0.842)
Ag (0.201, 0.701, 0.401)
Pt (0.840, 0.840, 0.679)
Hg (0.702, 0.202, 0.404)
Hg (0.049, 0.049, 0.098)

=====

[3]
Material: Ba2AgHgPt
Method: DFT, GGA-PBE
State: relaxed

Computed properties:
As for the size of the total moment: 0.00 μB per formula unit. For the formation energy from the elements, the calculation gives -175 kJ/mol of formula units. As for the space group: P4/mmm.

Unit cell a=6.075 b=6.075 c=5.276 alpha=90.00 beta=90.00 gamma=90.00
Atoms (fractional coordinates):
Ag (0.500, 0.500, 0.500)
Hg (0.000, 0.000, 0.500)
Ba (0.000, 0.500, 0.000)
Pt (0.000, 0.000, 0.000)
Ba (0.500, 0.000, 0.000)

=====

[4]
Material: BaAgHg2Pt
Method: DFT, GGA-PBE
State: relaxed

Computed properties:
As for the size of the total moment: 0.00 μB per formula unit. For the formation energy from the elements, the calculation gives -130 kJ/mol of formula units. As for the space group: P4/mmm.

Unit cell a=5.287 b=5.287 c=5.336 alpha=90.00 beta=90.00 gamma=90.00
Atoms (fractional coordinates):
Ag (0.000, 0.000, 0.500)
Pt (0.000, 0.000, 0.000)
Hg (0.000, 0.500, 0.000)
Ba (0.500, 0.500, 0.500)
Hg (0.500, 0.000, 0.000)

=====

[5]
Material: Ba6Ag2HgPt
Method: DFT, GGA-PBE
State: relaxed

Computed properties:
As for the size of the total moment: 0.00 μB per formula unit. For the formation energy from the elements, the calculation gives -360 kJ/mol of formula units. As for the space group: P2_1/c.

Unit cell a=8.199 b=8.984 c=12.009 alpha=90.00 beta=86.84 gamma=90.00
Atoms (fractional coordinates):
Pt (0.500, 0.000, 0.500)
Ba (0.340, 0.948, 0.740)
Hg (0.000, 0.500, 0.500)
Ag (0.947, 0.115, 0.738)
Ag (0.553, 0.615, 0.762)
Ba (0.160, 0.448, 0.760)
Ag (0.053, 0.885, 0.262)
Ba (0.185, 0.166, 0.434)
Ba (0.840, 0.552, 0.240)
Ba (0.685, 0.334, 0.934)
Hg (0.500, 0.000, 0.000)
Ba (0.653, 0.309, 0.575)
Ba (0.153, 0.191, 0.075)
Ba (0.315, 0.666, 0.066)
Pt (0.000, 0.500, 0.000)
Ba (0.847, 0.809, 0.925)
Ag (0.447, 0.385, 0.238)
Ba (0.347, 0.691, 0.425)
Ba (0.815, 0.834, 0.566)
Ba (0.660, 0.052, 0.260)

=====

[6]
Material: Ba6AgHg2Pt
Method: DFT, GGA-PBE
State: relaxed

Computed properties:
As for the size of the total moment: 0.00 μB per formula unit. For the formation energy from the elements, the calculation gives -419 kJ/mol of formula units. As for the space group: P2_1/c.

Unit cell a=8.138 b=9.040 c=12.138 alpha=90.00 beta=88.92 gamma=90.00
Atoms (fractional coordinates):
Hg (0.947, 0.113, 0.747)
Ba (0.182, 0.173, 0.434)
Ba (0.338, 0.693, 0.430)
Ag (0.500, 0.000, 0.000)
Ba (0.682, 0.327, 0.934)
Ag (0.000, 0.500, 0.500)
Ba (0.162, 0.193, 0.070)
Hg (0.553, 0.613, 0.753)
Ba (0.662, 0.307, 0.570)
Ba (0.838, 0.807, 0.930)
Ba (0.144, 0.461, 0.758)
Ba (0.318, 0.673, 0.066)
Pt (0.000, 0.500, 0.000)
Ba (0.356, 0.961, 0.742)
Ba (0.856, 0.539, 0.242)
Hg (0.053, 0.887, 0.253)
Ba (0.818, 0.827, 0.566)
Ba (0.644, 0.039, 0.258)
Hg (0.447, 0.387, 0.247)
Pt (0.500, 0.000, 0.500)

=====

[7]
Material: RbBaAgHg
Method: DFT, GGA-PBE
State: relaxed

Computed properties:
As for the size of the total moment: 0.00 μB per formula unit. For the formation energy from the elements, the calculation gives -57 kJ/mol of formula units. As for the space group: F-43m.

Unit cell a=5.974 b=5.974 c=5.974 alpha=60.00 beta=60.00 gamma=60.00
Atoms (fractional coordinates):
Ag (0.000, 0.000, 0.000)
Hg (0.500, 0.500, 0.500)
Ba (0.750, 0.750, 0.750)
Rb (0.250, 0.250, 0.250)

=====

[8]
Material: Ba2AgHg6Rh
Method: DFT, GGA-PBE
State: relaxed

Computed properties:
As for the size of the total moment: 0.00 μB per formula unit. For the formation energy from the elements, the calculation gives -229 kJ/mol of formula units. As for the space group: Immm.

Unit cell a=7.555 b=7.559 c=7.573 alpha=59.95 beta=59.97 gamma=89.96
Atoms (fractional coordinates):
Hg (0.253, 0.253, 0.493)
Hg (0.747, 0.747, 0.000)
Hg (0.747, 0.747, 0.507)
Hg (0.746, 0.253, 0.000)
Hg (0.254, 0.747, 0.000)
Ba (0.750, 0.250, 0.500)
Ba (0.250, 0.750, 0.500)
Rh (0.500, 0.500, 0.000)
Ag (0.000, 0.000, 0.000)
Hg (0.253, 0.253, 0.000)

=====

Q: Among the records above, which one has the highest formation energy from the elements?
A: RbBaAgHg

=====

What did the second record say?
Material: BaAgHg2Pt
Method: DFT, GGA-PBE
State: relaxed

Computed properties:
As for the size of the total moment: 0.00 μB per formula unit. For the formation energy from the elements, the calculation gives -167 kJ/mol of formula units. As for the space group: Imm2.

Unit cell a=4.485 b=4.422 c=7.316 alpha=107.59 beta=107.85 gamma=90.00
Atoms (fractional coordinates):
Ba (0.421, 0.421, 0.842)
Ag (0.201, 0.701, 0.401)
Pt (0.840, 0.840, 0.679)
Hg (0.702, 0.202, 0.404)
Hg (0.049, 0.049, 0.098)

=====

Q: Which of these has the lowest formation energy from the elements?
A: Ba6AgHg2Pt